[1]
DFT (PBE with a Hubbard U) results for a geometry-optimized NiAsIO2 structure.

Values from the calculation:
Size of the total moment: 2.5 μB/f.u.
Crystal system: tetragonal
Total DFT energy (no corrections): -16.6 eV for the cell shown
Symmetry: No. 123

Cell: 4.022 4.022 5.379 Å, 90.00 90.00 90.00°
Atoms (fractional coordinates):
Ni 0.000 0.000 0.000
As 0.500 0.500 0.500
I 0.000 0.000 0.500
O 0.000 0.500 0.000
O 0.500 0.000 0.000



[2]
DFT (PBE with a Hubbard U) results for a geometry-optimized NiAsIO2 structure.

Values from the calculation:
Size of the total moment: 1.0 μB/f.u.
Crystal system: tetragonal
Total DFT energy (no corrections): -19.4 eV for the cell shown
Symmetry: No. 123

Cell: 3.772 3.772 6.632 Å, 90.00 90.00 90.00°
Atoms (fractional coordinates):
Ni 0.000 0.000 0.000
As 0.500 0.500 0.500
I 0.500 0.500 0.000
O 0.000 0.500 0.500
O 0.500 0.000 0.500